# 1
This record from Alexandria via LeMat-Bulk describes an optimized crystal structure of TcGeN. The functional is GGA-PBE.

Properties
The formation energy (no corrections) is 62 meV/atom. The calculation puts the magnetization at 0.00 μB per atom. The calculation puts the energy above the most stable polymorph in this dataset at 106 meV/atom.

```
TcGeN
1.0
-1.4338 -5.7786 2.8511
2.8715 -0.6109 0.2058
1.6209 9.1865 4.6531
Tc Ge N
4 4 4
Cartesian
0.8866 5.5022 3.9616
1.5119 0.6034 1.7380
-0.3949 -0.8254 3.0592
1.8513 3.4624 5.4887
-0.0265 2.1890 6.8661
0.5988 -2.7097 4.6424
-0.8016 -3.1586 1.8082
1.4445 1.1292 4.2376
-0.1508 -0.3345 1.1106
2.0954 3.9533 3.5400
-0.2692 0.3454 4.7807
0.3560 -4.5534 2.5571
```

# 2
This record from Alexandria via LeMat-Bulk describes an optimized crystal structure of CaCo3PC. The functional is GGA-PBE.

Properties
The calculation puts the magnetization at 0.00 μB per atom. The formation energy comes out at -255 meV per atom.

```
CaCo3PC
1.0
5.4130 0.0000 0.0000
0.0000 5.2898 0.0000
0.0000 -2.6449 5.5008
Ca Co P C
2 6 2 2
Cartesian
4.0598 0.0000 2.7652
1.3533 2.6449 2.7356
1.3533 0.0000 2.0699
0.0000 1.2761 0.0000
2.7065 4.0137 0.0000
2.7065 1.2761 0.0000
0.0000 4.0137 0.0000
4.0598 2.6449 3.4309
1.3533 0.0000 4.2161
4.0598 2.6449 1.2846
1.3533 0.0000 0.2775
4.0598 2.6449 5.2233
```